1.
Compound: LaIO2
Source: Alexandria via LeMat-Bulk
Functional: PBE
Structure: optimized geometry

The space group is R-3m (No. 166, hexagonal axes) and the conventional cell measures 3.9465, 3.9465 and 18.7936 Å, with angles of 90.00, 90.00 and 120.00 degrees. Symmetry generates all atoms from La at (0.0000, 0.0000, 0.0000), I at (0.0000, 0.0000, 0.5000) and O at (0.0000, 0.0000, 0.3825).

The calculation puts the total magnetization at 0.000 Bohr magnetons per cell. The value obtained for the total energy is -75.1 eV for the cell shown. Its uncorrected formation energy is -8.6 eV per formula unit. Its density of states at the Fermi level is 0.0 states/eV per cell.

***

2.
Compound: CdCI2N
Source: Alexandria via LeMat-Bulk
Functional: PBE
Structure: optimized geometry

The space group is P4/mmm (No. 123) and the conventional cell measures 5.969, 5.969 and 4.295 Å, with angles of 90.00, 90.00 and 90.00 degrees. Symmetry generates all atoms from Cd at (0.000, 0.000, 0.000), C at (0.500, 0.500, 0.500), I at (0.000, 0.500, 0.000) and N at (0.000, 0.000, 0.500).

The calculation puts the total magnetization at 3.362 Bohr magnetons per cell. The value obtained for the total energy is -11.0 eV for the cell shown. Its uncorrected formation energy is 10.5 eV per formula unit. Its density of states at the Fermi level is 3.5 states/eV per cell.

***

3.
Compound: CuNiPtW
Source: Alexandria via LeMat-Bulk
Functional: PBE
Structure: optimized geometry

The space group is F-43m (No. 216) and the conventional cell measures 6.058, 6.058 and 6.058 Å, with angles of 90.00, 90.00 and 90.00 degrees. Symmetry generates all atoms from Cu at (0.000, 0.000, 0.000), Ni at (0.250, 0.250, 0.750), Pt at (0.250, 0.250, 0.250) and W at (0.000, 0.000, 0.500).

The calculation puts the total magnetization at 0.001 Bohr magnetons per cell. The formation energy comes out at 0.0611 eV/atom. The value obtained for the total energy is -114.5 eV for the cell shown. Its density of states at the Fermi level is 19.0 states/eV per cell.

***

4.
Compound: CoN3Cl
Source: Alexandria via LeMat-Bulk
Functional: PBE
Structure: optimized geometry

The space group is Pm-3m (No. 221) and the conventional cell measures 3.656, 3.656 and 3.656 Å, with angles of 90.00, 90.00 and 90.00 degrees. Symmetry generates all atoms from Co at (0.000, 0.000, 0.000), N at (0.000, 0.500, 0.500) and Cl at (0.500, 0.500, 0.500).

The calculation puts the total magnetization at 2.927 Bohr magnetons per cell. The value obtained for the total energy is -19.4 eV for the cell shown. Its uncorrected formation energy is 14.5 eV per formula unit. Its density of states at the Fermi level is 3.1 states/eV per cell.

***

5.
Compound: KSn2AsS
Source: Alexandria via LeMat-Bulk
Functional: PBE
Structure: optimized geometry

The space group is P4/mmm (No. 123) and the conventional cell measures 6.058, 6.058 and 5.158 Å, with angles of 90.00, 90.00 and 90.00 degrees. Symmetry generates all atoms from K at (0.000, 0.000, 0.000), Sn at (0.000, 0.500, 0.000), As at (0.000, 0.000, 0.500) and S at (0.500, 0.500, 0.500).

The calculation puts the total magnetization at 0.001 Bohr magnetons per cell. The value obtained for the total energy is -10.6 eV for the cell shown. Its uncorrected formation energy is 7.2 eV per formula unit. Its density of states at the Fermi level is 7.5 states/eV per cell.

***

6.
Compound: SrNbSe2
Source: Alexandria via LeMat-Bulk
Functional: PBE
Structure: optimized geometry

The space group is Fm-3m (No. 225) and the conventional cell measures 6.996, 6.996 and 6.996 Å, with angles of 90.00, 90.00 and 90.00 degrees. Symmetry generates all atoms from Sr at (0.000, 0.000, 0.000), Nb at (0.000, 0.000, 0.500) and Se at (0.250, 0.250, 0.250).

The calculation puts the total magnetization at 4.000 Bohr magnetons per cell. The value obtained for the total energy is -86.2 eV for the cell shown. Its uncorrected formation energy is -2.8 eV per formula unit. Its density of states at the Fermi level is 14.1 states/eV per cell.

***

Question: Which value of total magnetization does entry 4 give?
Answer: 2.927 Bohr magnetons per cell

***

Copy entry 1 word for word.
Compound: LaIO2
Source: Alexandria via LeMat-Bulk
Functional: PBE
Structure: optimized geometry

The space group is R-3m (No. 166, hexagonal axes) and the conventional cell measures 3.9465, 3.9465 and 18.7936 Å, with angles of 90.00, 90.00 and 120.00 degrees. Symmetry generates all atoms from La at (0.0000, 0.0000, 0.0000), I at (0.0000, 0.0000, 0.5000) and O at (0.0000, 0.0000, 0.3825).

The calculation puts the total magnetization at 0.000 Bohr magnetons per cell. The value obtained for the total energy is -75.1 eV for the cell shown. Its uncorrected formation energy is -8.6 eV per formula unit. Its density of states at the Fermi level is 0.0 states/eV per cell.